1.
A relaxed La2ZnRuI crystal, computed with GGA-PBE.

The value obtained for the raw formation energy is -0.529 eV per atom. The value obtained for the spin magnetization is 0.00 μB/cell. The density of states at the Fermi level is 2.560 states/eV/f.u.

Lattice parameters (Å, degrees): 5.425 5.425 4.998 90.00 90.00 90.00
Sites, in units of the cell vectors:
La1 0.500 0.000 0.000
La2 0.000 0.500 0.000
Zn1 0.000 0.000 0.500
Ru1 0.000 0.000 0.000
I1 0.500 0.500 0.500

---

2.
A relaxed LaS6I2 crystal, computed with GGA-PBE.

The value obtained for the raw formation energy is -0.453 eV per atom. The value obtained for the spin magnetization is 0.00 μB/cell. The density of states at the Fermi level is 1.891 states/eV/f.u.

Lattice parameters (Å, degrees): 5.048 8.600 8.642 125.31 91.10 90.68
Sites, in units of the cell vectors:
La1 0.000 0.000 0.000
I1 0.499 0.142 0.862
S1 0.697 0.667 0.666
S2 0.303 0.333 0.334
S3 0.932 0.756 0.543
S4 0.931 0.540 0.752
I2 0.501 0.858 0.138
S5 0.069 0.460 0.248
S6 0.068 0.244 0.457

---

3.
A relaxed LaS2I crystal, computed with GGA-PBE.

The value obtained for the raw formation energy is -0.766 eV per atom. Its excess energy over the best structure of this formula in the dataset is 497 meV per atom. The value obtained for the spin magnetization is 0.00 μB/cell. The density of states at the Fermi level is 4.318 states/eV/f.u.

Lattice parameters (Å, degrees): 8.003 8.003 6.703 53.35 53.35 90.00
Sites, in units of the cell vectors:
S1 0.656 0.125 0.250
S2 0.375 0.344 0.750
La1 0.750 0.250 0.500
La2 0.000 0.000 0.000
S3 0.875 0.906 0.750
I1 0.250 0.750 0.500
S4 0.094 0.625 0.250
I2 0.500 0.500 0.000

---

4.
A relaxed LaS2I2 crystal, computed with GGA-PBE.

The value obtained for the raw formation energy is -1.013 eV per atom. Its excess energy over the best structure of this formula in the dataset is 0 meV per atom. The value obtained for the spin magnetization is 0.00 μB/cell. The density of states at the Fermi level is 3.063 states/eV/f.u.

Lattice parameters (Å, degrees): 4.566 5.678 8.645 70.83 74.69 90.00
Sites, in units of the cell vectors:
S1 0.284 0.500 0.000
S2 0.716 0.500 0.000
I1 0.354 0.854 0.293
La1 0.000 0.000 0.000
I2 0.646 0.146 0.707

---

5.
A relaxed LaSI2 crystal, computed with GGA-PBE.

The value obtained for the raw formation energy is -0.774 eV per atom. Its excess energy over the best structure of this formula in the dataset is 0 meV per atom. The value obtained for the spin magnetization is 0.00 μB/cell. The density of states at the Fermi level is 2.281 states/eV/f.u.

Lattice parameters (Å, degrees): 4.499 4.499 13.202 80.19 80.19 90.00
Sites, in units of the cell vectors:
I1 0.121 0.625 0.250
I2 0.375 0.371 0.750
S1 0.500 0.500 0.000
I3 0.875 0.879 0.750
I4 0.629 0.125 0.250
S2 0.250 0.750 0.500
La1 0.750 0.250 0.500
La2 0.000 0.000 0.000

---

6.
A relaxed LaS2I2 crystal, computed with GGA-PBE.

The value obtained for the raw formation energy is -0.194 eV per atom. Its excess energy over the best structure of this formula in the dataset is 819 meV per atom. The value obtained for the spin magnetization is 0.00 μB/cell. The density of states at the Fermi level is 2.993 states/eV/f.u.

Lattice parameters (Å, degrees): 8.092 8.092 4.528 90.00 90.00 90.00
Sites, in units of the cell vectors:
S1 0.802 0.302 0.500
I1 0.862 0.638 0.000
I2 0.638 0.138 0.000
La1 0.500 0.500 0.000
La2 0.000 0.000 0.000
S2 0.302 0.198 0.500
S3 0.698 0.802 0.500
S4 0.198 0.698 0.500
I3 0.138 0.362 0.000
I4 0.362 0.862 0.000

---

7.
A relaxed La2S2I crystal, computed with GGA-PBE.

The value obtained for the raw formation energy is -1.854 eV per atom. Its excess energy over the best structure of this formula in the dataset is 15 meV per atom. The value obtained for the spin magnetization is 0.00 μB/cell. The density of states at the Fermi level is 3.292 states/eV/f.u.

Lattice parameters (Å, degrees): 4.854 4.854 7.872 90.00 90.00 120.00
Sites, in units of the cell vectors:
La1 0.333 0.667 0.300
S1 0.333 0.667 0.660
I1 0.000 0.000 0.000
S2 0.667 0.333 0.340
La2 0.667 0.333 0.700

---

8.
A relaxed LaSI2 crystal, computed with GGA-PBE.

The value obtained for the raw formation energy is -0.747 eV per atom. Its excess energy over the best structure of this formula in the dataset is 27 meV per atom. The value obtained for the spin magnetization is 1.00 μB/cell. The density of states at the Fermi level is 2.983 states/eV/f.u.

Lattice parameters (Å, degrees): 5.550 5.550 5.550 60.00 60.00 60.00
Sites, in units of the cell vectors:
S1 0.000 0.000 0.000
I1 0.750 0.750 0.750
I2 0.250 0.250 0.250
La1 0.500 0.500 0.500

---

9.
A relaxed La4SI5 crystal, computed with GGA-PBE.

The value obtained for the raw formation energy is -1.541 eV per atom. The value obtained for the spin magnetization is 0.00 μB/cell. The density of states at the Fermi level is 2.658 states/eV/f.u.

Lattice parameters (Å, degrees): 4.275 9.151 10.041 102.93 102.29 90.00
Sites, in units of the cell vectors:
I1 0.173 0.816 0.346
I2 0.500 0.500 0.000
I3 0.165 0.342 0.331
La1 0.646 0.070 0.291
La2 0.002 0.792 0.004
I4 0.827 0.184 0.654
S1 0.500 0.000 0.000
La3 0.998 0.208 0.996
La4 0.354 0.930 0.709
I5 0.835 0.658 0.669

---

10.
A relaxed LaS8I2 crystal, computed with GGA-PBE.

The value obtained for the raw formation energy is -0.308 eV per atom. The value obtained for the spin magnetization is 0.00 μB/cell. The density of states at the Fermi level is 2.590 states/eV/f.u.

Lattice parameters (Å, degrees): 9.620 7.989 8.108 128.10 105.59 53.41
Sites, in units of the cell vectors:
S1 0.711 0.528 0.330
S2 0.669 0.268 0.239
S3 0.954 0.908 0.361
S4 0.331 0.732 0.761
S5 0.150 0.653 0.124
I1 0.305 0.109 0.221
S6 0.850 0.347 0.876
I2 0.695 0.891 0.779
La1 0.000 0.000 0.000
S7 0.046 0.092 0.639
S8 0.289 0.472 0.670

---

11.
A relaxed La3SI7 crystal, computed with GGA-PBE.

The value obtained for the raw formation energy is -1.597 eV per atom. The value obtained for the spin magnetization is 0.00 μB/cell. The density of states at the Fermi level is 0.000 states/eV/f.u.

Lattice parameters (Å, degrees): 7.635 9.203 9.203 120.00 90.00 90.00
Sites, in units of the cell vectors:
I1 0.012 0.667 0.333
I2 0.544 0.829 0.658
S1 0.618 0.333 0.667
I3 0.016 0.664 0.832
I4 0.544 0.829 0.171
La1 0.769 0.018 0.509
I5 0.016 0.168 0.336
I6 0.016 0.168 0.832
La2 0.769 0.491 0.982
La3 0.769 0.491 0.509
I7 0.544 0.342 0.171

---

12.
A relaxed La7SI12 crystal, computed with GGA-PBE.

The value obtained for the raw formation energy is -1.514 eV per atom. The value obtained for the spin magnetization is 0.00 μB/cell. The density of states at the Fermi level is 3.931 states/eV/f.u.

Lattice parameters (Å, degrees): 10.052 10.052 10.052 107.89 107.89 107.89
Sites, in units of the cell vectors:
I1 0.228 0.077 0.685
I2 0.077 0.685 0.228
I3 0.849 0.610 0.526
I4 0.315 0.772 0.923
I5 0.151 0.390 0.474
I6 0.474 0.151 0.390
La1 0.894 0.965 0.692
I7 0.685 0.228 0.077
La2 0.692 0.894 0.965
I8 0.526 0.849 0.610
S1 0.000 0.000 0.000
La3 0.035 0.308 0.106
La4 0.106 0.035 0.308
La5 0.308 0.106 0.035
I9 0.610 0.526 0.849
I10 0.772 0.923 0.315
I11 0.390 0.474 0.151
La6 0.965 0.692 0.894
La7 0.500 0.500 0.500
I12 0.923 0.315 0.772

---

13.
A relaxed La4S5I crystal, computed with GGA-PBE.

The value obtained for the raw formation energy is -1.854 eV per atom. The value obtained for the spin magnetization is 2.02 μB/cell. The density of states at the Fermi level is 1.310 states/eV/f.u.

Lattice parameters (Å, degrees): 7.063 8.890 10.519 90.00 90.00 90.00
Sites, in units of the cell vectors:
S1 0.754 0.258 0.299
La1 0.510 0.231 0.500
S2 0.246 0.242 0.201
La2 0.490 0.269 0.000
S3 0.246 0.758 0.201
S4 0.246 0.242 0.799
I1 0.810 0.000 0.000
La3 0.998 0.500 0.785
La4 0.998 0.500 0.215
La5 0.510 0.769 0.500
S5 0.760 0.500 0.000
La6 0.002 0.000 0.285
La7 0.002 0.000 0.715
S6 0.754 0.742 0.701
S7 0.754 0.258 0.701
S8 0.754 0.742 0.299
S9 0.240 0.000 0.500
S10 0.246 0.758 0.799
I2 0.190 0.500 0.500
La8 0.490 0.731 0.000

---

14.
A relaxed LaS2I2 crystal, computed with GGA-PBE.

The value obtained for the raw formation energy is -0.535 eV per atom. Its excess energy over the best structure of this formula in the dataset is 477 meV per atom. The value obtained for the spin magnetization is 0.00 μB/cell. The density of states at the Fermi level is 2.495 states/eV/f.u.

Lattice parameters (Å, degrees): 3.706 3.706 11.531 80.75 80.75 90.00
Sites, in units of the cell vectors:
I1 0.412 0.412 0.177
La1 0.000 0.000 0.000
S1 0.250 0.750 0.500
S2 0.750 0.250 0.500
I2 0.588 0.588 0.823

---

15.
A relaxed La2SI4 crystal, computed with GGA-PBE.

The value obtained for the raw formation energy is -1.610 eV per atom. The value obtained for the spin magnetization is 0.00 μB/cell.

Lattice parameters (Å, degrees): 4.078 13.645 13.645 90.00 90.00 90.00
Sites, in units of the cell vectors:
La1 0.500 0.391 0.391
I1 0.500 0.283 0.935
I2 0.000 0.565 0.783
I3 0.000 0.435 0.217
La2 0.500 0.609 0.609
La3 0.000 0.891 0.109
I4 0.500 0.717 0.065
I5 0.000 0.783 0.565
I6 0.500 0.935 0.283
La4 0.000 0.109 0.891
I7 0.000 0.217 0.435
S1 0.000 0.500 0.500
S2 0.500 0.000 0.000
I8 0.500 0.065 0.717

---

16.
A relaxed La4S3I crystal, computed with GGA-PBE.

The value obtained for the raw formation energy is -1.896 eV per atom. The value obtained for the spin magnetization is 0.00 μB/cell. The density of states at the Fermi level is 4.460 states/eV/f.u.

Lattice parameters (Å, degrees): 4.167 4.167 29.290 90.00 90.00 120.00
Sites, in units of the cell vectors:
La1 0.667 0.333 0.941
I1 0.333 0.667 0.250
La2 0.000 0.000 0.669
La3 0.000 0.000 0.169
La4 0.333 0.667 0.059
S1 0.333 0.667 0.615
La5 0.000 0.000 0.831
S2 0.000 0.000 0.000
La6 0.667 0.333 0.559
S3 0.667 0.333 0.385
S4 0.333 0.667 0.885
S5 0.667 0.333 0.115
I2 0.667 0.333 0.750
La7 0.000 0.000 0.331
La8 0.333 0.667 0.441
S6 0.000 0.000 0.500

---

17.
A relaxed La2S2I crystal, computed with GGA-PBE.

The value obtained for the raw formation energy is -1.870 eV per atom. Its excess energy over the best structure of this formula in the dataset is 0 meV per atom. The value obtained for the spin magnetization is 0.00 μB/cell. The density of states at the Fermi level is 2.221 states/eV/f.u.

Lattice parameters (Å, degrees): 4.594 5.718 7.800 111.50 107.12 90.00
Sites, in units of the cell vectors:
I1 0.000 0.000 0.000
S1 0.306 0.306 0.612
La1 0.312 0.812 0.625
La2 0.688 0.188 0.375
S2 0.694 0.694 0.388

---

18.
A relaxed LaS2I crystal, computed with GGA-PBE.

The value obtained for the raw formation energy is -1.263 eV per atom. Its excess energy over the best structure of this formula in the dataset is 0 meV per atom. The value obtained for the spin magnetization is 0.00 μB/cell. The density of states at the Fermi level is 0.000 states/eV/f.u.

Lattice parameters (Å, degrees): 8.348 8.348 8.348 31.25 31.25 31.25
Sites, in units of the cell vectors:
S1 0.111 0.111 0.111
La1 0.500 0.500 0.500
S2 0.889 0.889 0.889
I1 0.000 0.000 0.000

---

19.
A relaxed LaS3I crystal, computed with GGA-PBE.

The value obtained for the raw formation energy is -0.175 eV per atom. Its excess energy over the best structure of this formula in the dataset is 0 meV per atom. The value obtained for the spin magnetization is 0.27 μB/cell. The density of states at the Fermi level is 6.393 states/eV/f.u.

Lattice parameters (Å, degrees): 5.143 5.143 5.143 90.00 90.00 90.00
Sites, in units of the cell vectors:
La1 0.500 0.500 0.500
S1 0.000 0.500 0.000
S2 0.000 0.000 0.500
I1 0.000 0.000 0.000
S3 0.500 0.000 0.000

---

20.
A relaxed LaSI3 crystal, computed with GGA-PBE.

The value obtained for the raw formation energy is -0.534 eV per atom. Its excess energy over the best structure of this formula in the dataset is 0 meV per atom. The value obtained for the spin magnetization is 2.00 μB/cell. The density of states at the Fermi level is 16.446 states/eV/f.u.

Lattice parameters (Å, degrees): 6.299 6.299 6.299 90.00 90.00 90.00
Sites, in units of the cell vectors:
I1 0.000 0.500 0.000
I2 0.000 0.000 0.500
La1 0.000 0.000 0.000
I3 0.500 0.000 0.000
S1 0.500 0.500 0.500

---

21.
A relaxed LaS3I crystal, computed with GGA-PBE.

The value obtained for the raw formation energy is -0.131 eV per atom. Its excess energy over the best structure of this formula in the dataset is 43 meV per atom. The value obtained for the spin magnetization is 4.00 μB/cell. The density of states at the Fermi level is 6.835 states/eV/f.u.

Lattice parameters (Å, degrees): 5.661 5.661 5.661 90.00 90.00 90.00
Sites, in units of the cell vectors:
La1 0.000 0.000 0.000
S1 0.500 0.000 0.000
S2 0.000 0.500 0.000
I1 0.500 0.500 0.500
S3 0.000 0.000 0.500

---

22.
A relaxed LaSI3 crystal, computed with GGA-PBE.

The value obtained for the raw formation energy is -0.134 eV per atom. Its excess energy over the best structure of this formula in the dataset is 400 meV per atom. The value obtained for the spin magnetization is 0.55 μB/cell. The density of states at the Fermi level is 13.706 states/eV/f.u.

Lattice parameters (Å, degrees): 5.608 5.608 5.608 90.00 90.00 90.00
Sites, in units of the cell vectors:
La1 0.500 0.500 0.500
I1 0.000 0.000 0.500
I2 0.000 0.500 0.000
I3 0.500 0.000 0.000
S1 0.000 0.000 0.000

---

23.
A relaxed LaS2I crystal, computed with GGA-PBE.

The value obtained for the raw formation energy is -0.705 eV per atom. Its excess energy over the best structure of this formula in the dataset is 558 meV per atom. The value obtained for the spin magnetization is 0.00 μB/cell. The density of states at the Fermi level is 9.238 states/eV/f.u.

Lattice parameters (Å, degrees): 5.178 5.178 5.178 60.00 60.00 60.00
Sites, in units of the cell vectors:
S1 0.750 0.750 0.750
La1 0.500 0.500 0.500
I1 0.000 0.000 0.000
S2 0.250 0.250 0.250